No. 1
The following is a GGA-PBE calculation of an optimized crystal structure of Ba3Nb16O23, from Alexandria via LeMat-Bulk.

The uncorrected energy comes out at -757.133 eV for the cell shown. For the uncorrected formation energy, the calculation gives -2.32 eV per atom.

a = 12.632 Å, b = 21.217 Å, c = 4.216 Å
α = 90.00°, β = 90.00°, γ = 90.00°
Space group Cmmm (No. 65)
Inequivalent atoms, fractional coordinates:
1 Ba 0.000 0.000 0.000 [2 per cell]
2 Ba 0.000 0.201 0.000 [4 per cell]
3 Nb 0.000 0.399 0.500 [4 per cell]
4 Nb 0.167 0.305 0.500 [8 per cell]
5 Nb 0.169 0.101 0.500 [8 per cell]
6 Nb 0.171 0.399 0.000 [8 per cell]
7 Nb 0.172 0.500 0.500 [4 per cell]
8 O 0.000 0.103 0.500 [4 per cell]
9 O 0.000 0.299 0.500 [4 per cell]
10 O 0.000 0.404 0.000 [4 per cell]
11 O 0.000 0.500 0.500 [2 per cell]
12 O 0.160 0.000 0.500 [4 per cell]
13 O 0.160 0.301 0.000 [8 per cell]
14 O 0.162 0.099 0.000 [8 per cell]
15 O 0.166 0.200 0.500 [8 per cell]
16 O 0.166 0.500 0.000 [4 per cell]


No. 2
The following is a GGA-PBE calculation of an optimized crystal structure of K2TaBi2Se6, from Alexandria via LeMat-Bulk.

The uncorrected energy comes out at -101.632 eV for the cell shown. For the uncorrected formation energy, the calculation gives -0.74 eV per atom.

a = 7.290 Å, b = 12.377 Å, c = 8.157 Å
α = 90.00°, β = 108.42°, γ = 90.00°
Space group C2/m (No. 12)
Inequivalent atoms, fractional coordinates:
1 K 0.000 0.175 0.000 [4 per cell]
2 Ta 0.000 0.000 0.500 [2 per cell]
3 Bi 0.000 0.332 0.500 [4 per cell]
4 Se 0.222 0.150 0.698 [8 per cell]
5 Se 0.227 0.000 0.305 [4 per cell]


No. 3
The following is a GGA-PBE calculation of an optimized crystal structure of K2Se2O, from Alexandria via LeMat-Bulk.

The uncorrected energy comes out at -72.565 eV for the cell shown. For the uncorrected formation energy, the calculation gives -0.80 eV per atom.

a = 11.096 Å, b = 6.859 Å, c = 6.646 Å
α = 90.00°, β = 94.25°, γ = 90.00°
Space group C2/c (No. 15)
Inequivalent atoms, fractional coordinates:
1 K 0.115 0.196 0.408 [8 per cell]
2 Se 0.145 0.288 0.899 [8 per cell]
3 O 0.000 0.142 0.750 [4 per cell]


No. 4
The following is a GGA-PBE calculation of an optimized crystal structure of ScOs2Cl, from Alexandria via LeMat-Bulk.

For the energy above the most stable polymorph in this dataset, the calculation gives 0.632 eV per atom. The uncorrected energy comes out at -85.699 eV for the cell shown. For the uncorrected formation energy, the calculation gives 0.52 eV per atom.

a = 2.9435 Å, b = 2.9435 Å, c = 25.9047 Å
α = 90.00°, β = 90.00°, γ = 120.00°
Space group R-3m (No. 166, hexagonal axes)
Inequivalent atoms, fractional coordinates:
1 Sc 0.0000 0.0000 0.0000 [3 per cell]
2 Os 0.0000 0.0000 0.2486 [6 per cell]
3 Cl 0.0000 0.0000 0.5000 [3 per cell]


No. 5
The following is a GGA-PBE calculation of an optimized crystal structure of Pm3Er4Hg8, from Alexandria via LeMat-Bulk.

The uncorrected energy comes out at -40.917 eV for the cell shown. The formation energy comes out at -5.999 eV per formula unit.

a = 7.403 Å, b = 7.403 Å, c = 7.403 Å
α = 90.00°, β = 90.00°, γ = 90.00°
Space group Pm-3m (No. 221)
Inequivalent atoms, fractional coordinates:
1 Pm 0.000 0.000 0.500 [3 per cell]
2 Er 0.000 0.000 0.000 [1 per cell]
3 Er 0.000 0.500 0.500 [3 per cell]
4 Hg 0.262 0.262 0.262 [8 per cell]


No. 6
The following is a GGA-PBE calculation of an optimized crystal structure of CeErOs2, from Alexandria via LeMat-Bulk.

The uncorrected energy comes out at -33.615 eV for the cell shown. The formation energy comes out at -0.659 eV per formula unit.

a = 4.845 Å, b = 4.845 Å, c = 3.412 Å
α = 90.00°, β = 90.00°, γ = 90.00°
Space group P4/mmm (No. 123)
Inequivalent atoms, fractional coordinates:
1 Ce 0.000 0.000 0.000 [1 per cell]
2 Er 0.500 0.500 0.000 [1 per cell]
3 Os 0.000 0.500 0.500 [2 per cell]


No. 7
The following is a GGA-PBE calculation of an optimized crystal structure of NdLuCoRu, from Alexandria via LeMat-Bulk.

The uncorrected energy comes out at -105.234 eV for the cell shown. The formation energy comes out at -0.638 eV per formula unit.

a = 6.791 Å, b = 6.791 Å, c = 6.791 Å
α = 90.00°, β = 90.00°, γ = 90.00°
Space group F-43m (No. 216)
Inequivalent atoms, fractional coordinates:
1 Nd 0.000 0.000 0.000 [4 per cell]
2 Lu 0.000 0.000 0.500 [4 per cell]
3 Co 0.250 0.250 0.750 [4 per cell]
4 Ru 0.250 0.250 0.250 [4 per cell]


No. 8
The following is a GGA-PBE calculation of an optimized crystal structure of PmNdSc2Bi4, from Alexandria via LeMat-Bulk.

The uncorrected energy comes out at -44.036 eV for the cell shown. The formation energy comes out at -6.331 eV per formula unit.

a = 7.654 Å, b = 4.442 Å, c = 7.693 Å
α = 90.00°, β = 109.57°, γ = 90.00°
Space group P2/m (No. 10)
Inequivalent atoms, fractional coordinates:
1 Pm 0.000 0.000 0.000 [1 per cell]
2 Nd 0.000 0.500 0.500 [1 per cell]
3 Sc 0.500 0.000 0.500 [1 per cell]
4 Sc 0.500 0.500 0.000 [1 per cell]
5 Bi 0.272 0.500 0.256 [2 per cell]
6 Bi 0.273 0.000 0.758 [2 per cell]


No. 9
The following is a GGA-PBE calculation of an optimized crystal structure of Nd2CoNi, from Alexandria via LeMat-Bulk.

For the energy above the most stable polymorph in this dataset, the calculation gives 0.088 eV per atom. The uncorrected energy comes out at -22.792 eV for the cell shown. The formation energy comes out at -0.369 eV per formula unit.

a = 3.469 Å, b = 3.469 Å, c = 7.011 Å
α = 90.00°, β = 90.00°, γ = 90.00°
Space group P4/mmm (No. 123)
Inequivalent atoms, fractional coordinates:
1 Nd 0.000 0.000 0.247 [2 per cell]
2 Co 0.500 0.500 0.000 [1 per cell]
3 Ni 0.500 0.500 0.500 [1 per cell]


No. 10
The following is a GGA-PBE calculation of an optimized crystal structure of Fe4SiRu2, from Alexandria via LeMat-Bulk.

The uncorrected energy comes out at -103.098 eV for the cell shown. For the uncorrected formation energy, the calculation gives 0.90 eV per atom.

a = 4.182 Å, b = 4.182 Å, c = 12.242 Å
α = 90.00°, β = 90.00°, γ = 90.00°
Space group I4/mmm (No. 139)
Inequivalent atoms, fractional coordinates:
1 Fe 0.000 0.000 0.188 [4 per cell]
2 Fe 0.000 0.500 0.000 [4 per cell]
3 Si 0.000 0.000 0.000 [2 per cell]
4 Ru 0.000 0.000 0.379 [4 per cell]


No. 11
The following is a GGA-PBE calculation of an optimized crystal structure of Ho6TlSi2Se3, from Alexandria via LeMat-Bulk.

The uncorrected energy comes out at -130.385 eV for the cell shown. For the uncorrected formation energy, the calculation gives -1.17 eV per atom.

a = 18.246 Å, b = 4.102 Å, c = 8.385 Å
α = 90.00°, β = 106.66°, γ = 90.00°
Space group C2/m (No. 12)
Inequivalent atoms, fractional coordinates:
1 Ho 0.001 0.000 0.266 [4 per cell]
2 Ho 0.172 0.500 0.092 [4 per cell]
3 Ho 0.172 0.500 0.568 [4 per cell]
4 Tl 0.000 0.500 0.000 [2 per cell]
5 Si 0.164 0.000 0.325 [4 per cell]
6 Se 0.000 0.500 0.500 [2 per cell]
7 Se 0.166 0.000 0.827 [4 per cell]


No. 12
The following is a GGA-PBE calculation of an optimized crystal structure of CeYSiGe, from Alexandria via LeMat-Bulk.

The uncorrected energy comes out at -50.917 eV for the cell shown. For the uncorrected formation energy, the calculation gives -0.76 eV per atom.

a = 3.942 Å, b = 4.377 Å, c = 10.766 Å
α = 90.00°, β = 90.00°, γ = 90.00°
Space group Amm2 (No. 38)
Inequivalent atoms, fractional coordinates:
1 Ce 0.000 0.000 0.000 [2 per cell]
2 Y 0.500 0.000 0.278 [2 per cell]
3 Si 0.500 0.000 0.559 [2 per cell]
4 Ge 0.000 0.000 0.717 [2 per cell]


No. 13
The following is a GGA-PBE calculation of an optimized crystal structure of TeAs2Br, from Alexandria via LeMat-Bulk.

For the energy above the most stable polymorph in this dataset, the calculation gives 0.499 eV per atom. The uncorrected energy comes out at -24.559 eV for the cell shown. For the uncorrected formation energy, the calculation gives 0.46 eV per atom.

a = 3.546 Å, b = 5.754 Å, c = 9.566 Å
α = 90.00°, β = 90.00°, γ = 90.00°
Space group Immm (No. 71)
Inequivalent atoms, fractional coordinates:
1 Te 0.000 0.000 0.000 [2 per cell]
2 As 0.000 0.500 0.272 [4 per cell]
3 Br 0.000 0.000 0.500 [2 per cell]


No. 14
The following is a GGA-PBE calculation of an optimized crystal structure of HoZr2Cu6, from Alexandria via LeMat-Bulk.

The uncorrected energy comes out at -47.683 eV for the cell shown. The formation energy comes out at -1.432 eV per formula unit.

a = 7.4173 Å, b = 7.4173 Å, c = 3.0764 Å
α = 90.00°, β = 90.00°, γ = 120.00°
Space group P6/mmm (No. 191)
Inequivalent atoms, fractional coordinates:
1 Ho 0.0000 0.0000 0.0000 [1 per cell]
2 Zr 0.3333 0.6667 0.0000 [2 per cell]
3 Cu 0.0000 0.3357 0.5000 [6 per cell]


No. 15
The following is a GGA-PBE calculation of an optimized crystal structure of Tl2Hg7Pb3, from Alexandria via LeMat-Bulk.

For the energy above the most stable polymorph in this dataset, the calculation gives 0.004 eV per atom. The uncorrected energy comes out at -17.671 eV for the cell shown. The formation energy comes out at 0.299 eV per formula unit.

a = 6.001 Å, b = 3.319 Å, c = 17.642 Å
α = 90.00°, β = 91.41°, γ = 90.00°
Space group P2/m (No. 10)
Inequivalent atoms, fractional coordinates:
1 Tl 0.035 0.000 0.171 [2 per cell]
2 Hg 0.000 0.500 0.500 [1 per cell]
3 Hg 0.097 0.000 0.346 [2 per cell]
4 Hg 0.251 0.000 0.000 [2 per cell]
5 Hg 0.408 0.500 0.664 [2 per cell]
6 Pb 0.467 0.500 0.839 [2 per cell]
7 Pb 0.500 0.000 0.500 [1 per cell]


No. 16
The following is a GGA-PBE calculation of an optimized crystal structure of TaReAs2, from Alexandria via LeMat-Bulk.

For the energy above the most stable polymorph in this dataset, the calculation gives 0.391 eV per atom. The uncorrected energy comes out at -32.405 eV for the cell shown. The formation energy comes out at 1.194 eV per formula unit.

a = 3.095 Å, b = 3.994 Å, c = 5.433 Å
α = 90.00°, β = 92.71°, γ = 90.00°
Space group P2/m (No. 10)
Inequivalent atoms, fractional coordinates:
1 Ta 0.000 0.000 0.000 [1 per cell]
2 Re 0.500 0.000 0.500 [1 per cell]
3 As 0.383 0.500 0.756 [2 per cell]


No. 17
The following is a GGA-PBE calculation of an optimized crystal structure of Re2SiPt, from Alexandria via LeMat-Bulk.

The uncorrected energy comes out at -71.684 eV for the cell shown. For the uncorrected formation energy, the calculation gives 0.13 eV per atom.

a = 3.929 Å, b = 3.929 Å, c = 7.519 Å
α = 90.00°, β = 90.00°, γ = 90.00°
Space group I4/mmm (No. 139)
Inequivalent atoms, fractional coordinates:
1 Re 0.000 0.500 0.250 [4 per cell]
2 Si 0.000 0.000 0.000 [2 per cell]
3 Pt 0.000 0.000 0.500 [2 per cell]


No. 18
The following is a GGA-PBE calculation of an optimized crystal structure of CrTcPt2, from Alexandria via LeMat-Bulk.

For the energy above the most stable polymorph in this dataset, the calculation gives 0.071 eV per atom. The uncorrected energy comes out at -32.540 eV for the cell shown. The formation energy comes out at -0.469 eV per formula unit.

a = 2.710 Å, b = 2.710 Å, c = 7.825 Å
α = 90.00°, β = 90.00°, γ = 90.00°
Space group P4mm (No. 99)
Inequivalent atoms, fractional coordinates:
1 Cr 0.000 0.000 0.000 [1 per cell]
2 Tc 0.500 0.500 0.770 [1 per cell]
3 Pt 0.000 0.000 0.514 [1 per cell]
4 Pt 0.500 0.500 0.234 [1 per cell]


No. 19
The following is a GGA-PBE calculation of an optimized crystal structure of La2HoTm9, from Alexandria via LeMat-Bulk.

The uncorrected energy comes out at -54.228 eV for the cell shown. The formation energy comes out at 0.449 eV per formula unit.

a = 5.001 Å, b = 5.001 Å, c = 15.039 Å
α = 90.00°, β = 90.00°, γ = 90.00°
Space group P4/mmm (No. 123)
Inequivalent atoms, fractional coordinates:
1 La 0.000 0.000 0.166 [2 per cell]
2 Ho 0.000 0.000 0.500 [1 per cell]
3 Tm 0.000 0.500 0.000 [2 per cell]
4 Tm 0.000 0.500 0.338 [4 per cell]
5 Tm 0.500 0.500 0.169 [2 per cell]
6 Tm 0.500 0.500 0.500 [1 per cell]


No. 20
The following is a GGA-PBE calculation of an optimized crystal structure of YTaAg, from Alexandria via LeMat-Bulk.

For the energy above the most stable polymorph in this dataset, the calculation gives 0.162 eV per atom. The uncorrected energy comes out at -20.035 eV for the cell shown. The formation energy comes out at 1.133 eV per formula unit.

a = 3.1766 Å, b = 3.1766 Å, c = 7.4798 Å
α = 90.00°, β = 90.00°, γ = 120.00°
Space group P3m1 (No. 156)
Inequivalent atoms, fractional coordinates:
1 Y 0.0000 0.0000 0.0000 [1 per cell]
2 Ta 0.3333 0.6667 0.6663 [1 per cell]
3 Ag 0.6667 0.3333 0.3563 [1 per cell]


No. 21
The following is a GGA-PBE calculation of an optimized crystal structure of LaFe4Ag, from Alexandria via LeMat-Bulk.

The uncorrected energy comes out at -162.652 eV for the cell shown. The formation energy comes out at 0.966 eV per formula unit.

a = 7.281 Å, b = 7.281 Å, c = 7.281 Å
α = 90.00°, β = 90.00°, γ = 90.00°
Space group F-43m (No. 216)
Inequivalent atoms, fractional coordinates:
1 La 0.000 0.000 0.000 [4 per cell]
2 Fe 0.123 0.123 0.377 [16 per cell]
3 Ag 0.250 0.250 0.750 [4 per cell]


No. 22
The following is a GGA-PBE calculation of an optimized crystal structure of SmPtRh, from Alexandria via LeMat-Bulk.

For the energy above the most stable polymorph in this dataset, the calculation gives 0.392 eV per atom. The uncorrected energy comes out at -39.294 eV for the cell shown. The formation energy comes out at -1.535 eV per formula unit.

a = 3.586 Å, b = 3.586 Å, c = 9.113 Å
α = 90.00°, β = 90.00°, γ = 90.00°
Space group I4mm (No. 107)
Inequivalent atoms, fractional coordinates:
1 Sm 0.000 0.000 0.000 [2 per cell]
2 Pt 0.000 0.000 0.327 [2 per cell]
3 Rh 0.000 0.000 0.671 [2 per cell]


No. 23
The following is a GGA-PBE calculation of an optimized crystal structure of CsAl2ZnBr8, from Alexandria via LeMat-Bulk.

The uncorrected energy comes out at -108.303 eV for the cell shown. For the uncorrected formation energy, the calculation gives -1.09 eV per atom.

a = 6.9952 Å, b = 6.9952 Å, c = 30.9185 Å
α = 90.00°, β = 90.00°, γ = 120.00°
Space group R-3 (No. 148, hexagonal axes)
Inequivalent atoms, fractional coordinates:
1 Cs 0.0000 0.0000 0.0000 [3 per cell]
2 Al 0.0000 0.0000 0.2480 [6 per cell]
3 Zn 0.0000 0.0000 0.5000 [3 per cell]
4 Br 0.0000 0.0000 0.3233 [6 per cell]
5 Br 0.0077 0.6864 0.7755 [18 per cell]


So what do the calculations give for magnetic moment? Going down the list: 0.0, 2.0, 0.0, 0.0, 1.7, 0.0, 0.0, 0.0, 0.4, 22.8, 0.0, 1.3, 0.0, 0.0, 0.0, 0.0, 0.0, 0.2, 0.0, 0.0, 39.0, 0.0, 3.1 Bohr magnetons per cell.